(1)
Tb4NdTm4 | GGA-PBE | relaxed

The structure belongs to space group I4/mmm (No. 139); the cell edges are 10.639, 10.639 and 4.986 Å and the angles 90.00°, 90.00° and 90.00°. The distinct sites, in fractional coordinates, are Tb at (0.000, 0.333, 0.000), Nd at (0.000, 0.000, 0.000) and Tm at (0.167, 0.167, 0.500).

The crystal system is tetragonal. The formation energy comes out at 0.022 eV/atom.

(2)
CaTlOs | GGA-PBE | relaxed

The structure belongs to space group I4mm (No. 107); the cell edges are 3.528, 3.528 and 10.619 Å and the angles 90.00°, 90.00° and 90.00°. The distinct sites, in fractional coordinates, are Ca at (0.000, 0.000, 0.000), Tl at (0.000, 0.000, 0.295) and Os at (0.000, 0.000, 0.667).

The crystal system is tetragonal. The formation energy comes out at 0.508 eV/atom.

(3)
Pm3SbTe3 | GGA-PBE | relaxed

The structure belongs to space group R-3 (No. 148, hexagonal axes); the cell edges are 9.3052, 9.3052 and 19.0628 Å and the angles 90.00°, 90.00° and 120.00°. The distinct sites, in fractional coordinates, are Pm at (0.0114, 0.3898, 0.4212), Sb at (0.0000, 0.0000, 0.1617) and Te at (0.0097, 0.2725, 0.5912).

The crystal system is trigonal. The formation energy from raw total energies comes out at -1.277 eV/atom.

(4)
TlCuRh2 | GGA-PBE | relaxed

The structure belongs to space group R3m (No. 160, hexagonal axes); the cell edges are 2.9384, 2.9384 and 26.5778 Å and the angles 90.00°, 90.00° and 120.00°. The distinct sites, in fractional coordinates, are Tl at (0.0000, 0.0000, 0.0000), Cu at (0.0000, 0.0000, 0.7568), Rh at (0.0000, 0.0000, 0.2434) and Rh at (0.0000, 0.0000, 0.4996).

The crystal system is trigonal. The formation energy comes out at 0.391 eV/atom.

(5)
LaY2Ru | GGA-PBE | relaxed

The structure belongs to space group Fm-3m (No. 225); the cell edges are 7.344, 7.344 and 7.344 Å and the angles 90.00°, 90.00° and 90.00°. The distinct sites, in fractional coordinates, are La at (0.000, 0.000, 0.000), Y at (0.250, 0.250, 0.250) and Ru at (0.000, 0.000, 0.500).

The crystal system is cubic. The formation energy comes out at 0.130 eV/atom.

(6)
LiSmAg2Br6 | GGA-PBE | relaxed

The structure belongs to space group P1 (No. 1); the cell edges are 7.209, 7.213 and 7.774 Å and the angles 62.43°, 62.51° and 60.10°. The distinct sites, in fractional coordinates, are Li at (0.000, 0.000, 0.000), Sm at (0.515, 0.515, 0.454), Ag at (0.206, 0.204, 0.386), Ag at (0.769, 0.771, 0.690), Br at (0.123, 0.772, 0.716), Br at (0.259, 0.617, 0.212), Br at (0.388, 0.123, 0.716), Br at (0.619, 0.910, 0.212), Br at (0.770, 0.389, 0.718) and Br at (0.912, 0.258, 0.213).

The crystal system is triclinic. The formation energy from raw total energies comes out at -1.156 eV/atom.

(7)
ZrIn2Mo | GGA-PBE | relaxed

The structure belongs to space group P2/m (No. 10); the cell edges are 2.986, 4.628 and 5.951 Å and the angles 90.00°, 100.68° and 90.00°. The distinct sites, in fractional coordinates, are Zr at (0.000, 0.000, 0.000), In at (0.451, 0.500, 0.740) and Mo at (0.000, 0.000, 0.500).

The crystal system is monoclinic. The formation energy comes out at 0.074 eV/atom.

(8)
Na6Sb2Pt | GGA-PBE | relaxed

The structure belongs to space group R-3m (No. 166, hexagonal axes); the cell edges are 5.3112, 5.3112 and 29.7216 Å and the angles 90.00°, 90.00° and 120.00°. The distinct sites, in fractional coordinates, are Na at (0.0000, 0.0000, 0.0823), Na at (0.0000, 0.0000, 0.1962), Na at (0.0000, 0.0000, 0.3052), Sb at (0.0000, 0.0000, 0.4113) and Pt at (0.0000, 0.0000, 0.5000).

The crystal system is trigonal. The formation energy from raw total energies comes out at -0.404 eV/atom.

(9)
Tb3YZr2N6 | GGA-PBE | relaxed

The structure belongs to space group C2/m (No. 12); the cell edges are 14.837, 3.396 and 6.827 Å and the angles 90.00°, 103.55° and 90.00°. The distinct sites, in fractional coordinates, are Tb at (0.000, 0.000, 0.000), Tb at (0.167, 0.500, 0.333), Y at (0.000, 0.000, 0.500), Zr at (0.167, 0.500, 0.834), N at (0.007, 0.500, 0.754), N at (0.168, 0.000, 0.599) and N at (0.171, 0.000, 0.073).

The crystal system is monoclinic. The formation energy from raw total energies comes out at -1.702 eV/atom.

(10)
ZnCo2Hg | GGA-PBE | relaxed

The structure belongs to space group R3m (No. 160, hexagonal axes); the cell edges are 2.7736, 2.7736 and 27.2580 Å and the angles 90.00°, 90.00° and 120.00°. The distinct sites, in fractional coordinates, are Zn at (0.0000, 0.0000, 0.0000), Co at (0.0000, 0.0000, 0.2592), Co at (0.0000, 0.0000, 0.5268) and Hg at (0.0000, 0.0000, 0.7710).

The crystal system is trigonal. The formation energy comes out at 0.302 eV/atom.

(11)
SrZrPdS3 | GGA-PBE | relaxed

The structure belongs to space group P2_1/m (No. 11); the cell edges are 7.767, 3.833 and 8.987 Å and the angles 90.00°, 106.78° and 90.00°. The distinct sites, in fractional coordinates, are Sr at (0.222, 0.250, 0.259), Zr at (0.310, 0.750, 0.822), Pd at (0.125, 0.250, 0.584), S at (0.093, 0.250, 0.855), S at (0.296, 0.750, 0.540) and S at (0.438, 0.750, 0.133).

The crystal system is monoclinic. The formation energy from raw total energies comes out at -1.495 eV/atom.

(12)
Re5Mo | GGA-PBE | relaxed

The structure belongs to space group P6/mmm (No. 191); the cell edges are 5.0805, 5.0805 and 4.4771 Å and the angles 90.00°, 90.00° and 120.00°. The distinct sites, in fractional coordinates, are Re at (0.0000, 0.5000, 0.0000), Re at (0.3333, 0.6667, 0.5000) and Mo at (0.0000, 0.0000, 0.5000).

The crystal system is hexagonal. The formation energy comes out at 0.534 eV/atom.